This record from Alexandria via LeMat-Bulk describes a relaxed Na3VRu crystal. The functional is GGA-PBE.

The structure in POSCAR format:
```
Na3VRu
1.0
-4.4254 -1.2205 -3.0258
1.1988 -5.3505 0.4048
-3.0344 -0.3340 4.5727
Ru V Na
1 1 3
Direct
0.5000 0.5000 0.5000
0.0000 0.0000 0.0000
0.0000 0.5000 0.0000
0.0000 0.0000 0.5000
0.5000 0.0000 0.0000
```

Values from the calculation:
- energy of formation from the pure elements (eV per atom) = 1.857
- total DFT energy (no corrections) (eV per formula unit) = -13.06